a.
VASP calculation (PBE-GGA) on BaCr3Pd after structural relaxation.

Summary:
Its crystal system is cubic. The space-group type is Pm-3m. For the density of states at the Fermi level, the calculation gives 0.85 states/eV per atom.

Unit cell a=4.964 b=4.964 c=4.964 alpha=90.00 beta=90.00 gamma=90.00
Each line ends with the local moment (μB).
Element x y z (fractional)
1 Pd 0.500 0.500 0.500  0.11
2 Ba 0.000 0.000 0.000  -0.03
3 Cr 0.000 0.500 0.000  3.37
4 Cr 0.500 0.000 0.000  3.58
5 Cr 0.000 0.000 0.500  3.05

***

b.
VASP calculation (PBE-GGA) on BaCr3Pd after structural relaxation.

Summary:
Its crystal system is cubic. The space-group type is Pm-3m. For the density of states at the Fermi level, the calculation gives 3.73 states/eV per atom.

Unit cell a=4.754 b=4.754 c=4.754 alpha=90.00 beta=90.00 gamma=90.00
Element x y z (fractional)
1 Cr 0.000 0.500 0.000
2 Cr 0.000 0.000 0.500
3 Cr 0.500 0.000 0.000
4 Ba 0.500 0.500 0.500
5 Pd 0.000 0.000 0.000

***

Computed relative energies in units of meV per atom: a 782; b 0

***

a.
VASP calculation (PBE-GGA) on BaCr2Pt after structural relaxation.

Summary:
Its crystal system is tetragonal. The space-group type is P4mm. For the density of states at the Fermi level, the calculation gives 0.75 states/eV per atom.

Unit cell a=3.390 b=3.386 c=7.506 alpha=90.00 beta=90.00 gamma=90.00
Each line ends with the local moment (μB).
Element x y z (fractional)
1 Ba 0.500 0.500 0.729  0.01
2 Pt 0.000 0.000 0.439  -0.07
3 Cr 0.500 0.500 0.245  -3.16
4 Cr 0.000 0.000 0.088  3.25

***

b.
VASP calculation (PBE-GGA) on BaCr2Pt after structural relaxation.

Summary:
Its crystal system is trigonal. The space-group type is R-3m. For the density of states at the Fermi level, the calculation gives 1.05 states/eV per atom.

Unit cell a=6.366 b=6.366 c=6.366 alpha=41.59 beta=41.59 gamma=41.59
Each line ends with the local moment (μB).
Element x y z (fractional)
1 Ba 0.750 0.750 0.750  0.04
2 Pt 0.250 0.250 0.250  0.11
3 Cr 0.559 0.559 0.559  3.38
4 Cr 0.941 0.941 0.941  3.38

***

c.
VASP calculation (PBE-GGA) on BaCr2Pt after structural relaxation.

Summary:
Its crystal system is monoclinic. The space-group type is C2/m. For the density of states at the Fermi level, the calculation gives 0.55 states/eV per atom.

Unit cell a=6.058 b=6.058 c=4.395 alpha=69.20 beta=69.20 gamma=119.21
Each line ends with the local moment (μB).
Element x y z (fractional)
1 Cr 0.500 0.500 0.000  3.98
2 Cr 0.000 0.000 0.000  3.98
3 Pt 0.500 0.000 0.500  0.12
4 Ba 0.000 0.500 0.500  0.10

***

d.
VASP calculation (PBE-GGA) on BaCr2Pt after structural relaxation.

Summary:
Its crystal system is orthorhombic. The space-group type is Immm. For the density of states at the Fermi level, the calculation gives 0.68 states/eV per atom.

Unit cell a=6.162 b=6.162 c=6.162 alpha=147.30 beta=127.74 gamma=63.03
Each line ends with the local moment (μB).
Element x y z (fractional)
1 Ba 0.250 0.750 0.500  0.06
2 Pt 0.750 0.250 0.500  0.14
3 Cr 0.947 0.947 0.000  3.84
4 Cr 0.553 0.553 0.000  3.84

***

Computed relative energies in units of meV per atom: a 27; b 0; c 502; d 269

***

a.
VASP calculation (PBE-GGA) on BaCrPt3 after structural relaxation.

Summary:
Its crystal system is cubic. The space-group type is Pm-3m. For the density of states at the Fermi level, the calculation gives 1.29 states/eV per atom.

Unit cell a=4.800 b=4.800 c=4.800 alpha=90.00 beta=90.00 gamma=90.00
Element x y z (fractional)
1 Pt 0.000 0.500 0.000
2 Pt 0.000 0.000 0.500
3 Pt 0.500 0.000 0.000
4 Ba 0.500 0.500 0.500
5 Cr 0.000 0.000 0.000

***

b.
VASP calculation (PBE-GGA) on BaCrPt3 after structural relaxation.

Summary:
Its crystal system is cubic. The space-group type is Pm-3m. For the density of states at the Fermi level, the calculation gives 2.76 states/eV per atom.

Unit cell a=5.301 b=5.301 c=5.301 alpha=90.00 beta=90.00 gamma=90.00
Each line ends with the local moment (μB).
Element x y z (fractional)
1 Cr 0.500 0.500 0.500  0.76
2 Pt 0.500 0.000 0.000  0.01
3 Pt 0.000 0.000 0.500  -0.02
4 Pt 0.000 0.500 0.000  0.01
5 Ba 0.000 0.000 0.000  0.00

***

Computed relative energies in units of meV per atom: a 0; b 2305

***

a.
VASP calculation (PBE-GGA) on Ba2CrPt after structural relaxation.

Summary:
Its crystal system is trigonal. The space-group type is R3m. For the density of states at the Fermi level, the calculation gives 0.56 states/eV per atom.

Unit cell a=9.098 b=9.098 c=9.098 alpha=28.58 beta=28.58 gamma=28.58
Each line ends with the local moment (μB).
Element x y z (fractional)
1 Ba 0.038 0.038 0.038  0.03
2 Ba 0.212 0.212 0.212  0.03
3 Pt 0.792 0.792 0.792  0.03
4 Cr 0.458 0.458 0.458  3.45

***

b.
VASP calculation (PBE-GGA) on Ba2CrPt after structural relaxation.

Summary:
Its crystal system is tetragonal. The space-group type is I-4m2. For the density of states at the Fermi level, the calculation gives 0.74 states/eV per atom.

Unit cell a=6.478 b=6.478 c=6.478 alpha=137.40 beta=137.40 gamma=61.82
Each line ends with the local moment (μB).
Element x y z (fractional)
1 Pt 0.750 0.250 0.500  0.05
2 Ba 0.000 0.000 0.000  0.02
3 Ba 0.250 0.750 0.500  0.01
4 Cr 0.500 0.500 0.000  4.00

***

c.
VASP calculation (PBE-GGA) on Ba2CrPt after structural relaxation.

Summary:
Its crystal system is tetragonal. The space-group type is P4/mmm. For the density of states at the Fermi level, the calculation gives 0.48 states/eV per atom.

Unit cell a=3.950 b=3.950 c=8.359 alpha=90.00 beta=90.00 gamma=90.00
Each line ends with the local moment (μB).
Element x y z (fractional)
1 Ba 0.000 0.000 0.532  0.02
2 Ba 0.000 0.000 0.968  0.02
3 Pt 0.500 0.500 0.750  0.04
4 Cr 0.500 0.500 0.250  4.10

***

d.
VASP calculation (PBE-GGA) on Ba2CrPt after structural relaxation.

Summary:
Its crystal system is cubic. The space-group type is Fm-3m. For the density of states at the Fermi level, the calculation gives 0.86 states/eV per atom.

Unit cell a=5.632 b=5.632 c=5.632 alpha=60.00 beta=60.00 gamma=60.00
Each line ends with the local moment (μB).
Element x y z (fractional)
1 Ba 0.750 0.750 0.750  0.04
2 Ba 0.250 0.250 0.250  0.04
3 Cr 0.000 0.000 0.000  4.12
4 Pt 0.500 0.500 0.500  0.09

***

Computed relative energies in units of meV per atom: a 0; b 403; c 235; d 290

***

a.
VASP calculation (PBE-GGA) on Ba2CrPt after structural relaxation.

Summary:
Its crystal system is orthorhombic. The space-group type is Amm2. For the density of states at the Fermi level, the calculation gives 0.60 states/eV per atom.

Unit cell a=4.556 b=4.859 c=6.654 alpha=68.54 beta=90.00 gamma=90.00
Each line ends with the local moment (μB).
Element x y z (fractional)
1 Ba 0.000 0.983 0.909  0.02
2 Ba 0.500 0.266 0.343  0.00
3 Cr 0.000 0.675 0.525  3.69
4 Pt 0.500 0.575 0.724  0.06

***

b.
VASP calculation (PBE-GGA) on Ba2CrPt after structural relaxation.

Summary:
Its crystal system is tetragonal. The space-group type is P4mm. For the density of states at the Fermi level, the calculation gives 1.12 states/eV per atom.

Unit cell a=3.749 b=3.750 c=9.402 alpha=90.00 beta=90.00 gamma=90.00
Each line ends with the local moment (μB).
Element x y z (fractional)
1 Ba 0.500 0.500 0.333  -0.04
2 Ba 0.000 0.000 0.912  0.02
3 Cr 0.000 0.000 0.591  3.52
4 Pt 0.500 0.500 0.664  0.05

***

Computed relative energies in units of meV per atom: a 0; b 182

***

a.
VASP calculation (PBE-GGA) on Ba2CrPt after structural relaxation.

Summary:
Its crystal system is orthorhombic. The space-group type is Imm2. For the density of states at the Fermi level, the calculation gives 0.77 states/eV per atom.

Unit cell a=8.160 b=8.160 c=4.670 alpha=73.37 beta=73.37 gamma=31.92
Each line ends with the local moment (μB).
Element x y z (fractional)
1 Ba 0.005 0.005 0.995  0.01
2 Ba 0.751 0.751 0.749  -0.01
3 Pt 0.161 0.161 0.339  0.07
4 Cr 0.583 0.583 0.417  3.61

***

b.
VASP calculation (PBE-GGA) on Ba2CrPt after structural relaxation.

Summary:
Its crystal system is monoclinic. The space-group type is C2/m. For the density of states at the Fermi level, the calculation gives 0.64 states/eV per atom.

Unit cell a=4.574 b=4.574 c=8.965 alpha=75.34 beta=75.34 gamma=59.84
Each line ends with the local moment (μB).
Element x y z (fractional)
1 Ba 0.515 0.515 0.456  0.02
2 Ba 0.985 0.985 0.044  0.02
3 Pt 0.250 0.250 0.250  0.03
4 Cr 0.750 0.750 0.750  4.18

***

c.
VASP calculation (PBE-GGA) on Ba2CrPt after structural relaxation.

Summary:
Its crystal system is cubic. The space-group type is F-43m. For the density of states at the Fermi level, the calculation gives 0.88 states/eV per atom.

Unit cell a=5.414 b=5.414 c=5.414 alpha=60.00 beta=60.00 gamma=60.00
Each line ends with the local moment (μB).
Element x y z (fractional)
1 Ba 0.000 0.000 0.000  0.02
2 Ba 0.250 0.250 0.250  0.11
3 Cr 0.500 0.500 0.500  4.01
4 Pt 0.750 0.750 0.750  0.10

***

Computed relative energies in units of meV per atom: a 0; b 161; c 272

***

a.
VASP calculation (PBE-GGA) on BaCr3Pt after structural relaxation.

Summary:
Its crystal system is cubic. The space-group type is Pm-3m. For the density of states at the Fermi level, the calculation gives 1.37 states/eV per atom.

Unit cell a=4.610 b=4.610 c=4.610 alpha=90.00 beta=90.00 gamma=90.00
Element x y z (fractional)
1 Cr 0.000 0.000 0.500
2 Cr 0.500 0.000 0.000
3 Cr 0.000 0.500 0.000
4 Ba 0.000 0.000 0.000
5 Pt 0.500 0.500 0.500

***

b.
VASP calculation (PBE-GGA) on BaCr3Pt after structural relaxation.

Summary:
Its crystal system is cubic. The space-group type is Pm-3m. For the density of states at the Fermi level, the calculation gives 1.50 states/eV per atom.

Unit cell a=5.077 b=5.077 c=5.077 alpha=90.00 beta=90.00 gamma=90.00
Each line ends with the local moment (μB).
Element x y z (fractional)
1 Ba 0.500 0.500 0.500  0.06
2 Pt 0.000 0.000 0.000  0.13
3 Cr 0.000 0.000 0.500  3.70
4 Cr 0.500 0.000 0.000  3.56
5 Cr 0.000 0.500 0.000  3.70

***

Computed relative energies in units of meV per atom: a 2088; b 0

***

a.
VASP calculation (PBE-GGA) on RbBaCr3 after structural relaxation.

Summary:
Its crystal system is cubic. The space-group type is Pm-3m. For the density of states at the Fermi level, the calculation gives 0.59 states/eV per atom.

Unit cell a=6.016 b=6.016 c=6.016 alpha=90.00 beta=90.00 gamma=90.00
Each line ends with the local moment (μB).
Element x y z (fractional)
1 Cr 0.500 0.000 0.000  4.28
2 Cr 0.000 0.000 0.500  4.20
3 Cr 0.000 0.500 0.000  4.29
4 Ba 0.500 0.500 0.500  0.01
5 Rb 0.000 0.000 0.000  0.13

***

b.
VASP calculation (PBE-GGA) on RbBaCr3 after structural relaxation.

Summary:
Its crystal system is cubic. The space-group type is Pm-3m. For the density of states at the Fermi level, the calculation gives 0.61 states/eV per atom.

Unit cell a=6.448 b=6.448 c=6.448 alpha=90.00 beta=90.00 gamma=90.00
Each line ends with the local moment (μB).
Element x y z (fractional)
1 Cr 0.500 0.000 0.000  4.31
2 Cr 0.000 0.500 0.000  4.22
3 Cr 0.000 0.000 0.500  4.10
4 Ba 0.000 0.000 0.000  0.14
5 Rb 0.500 0.500 0.500  0.00

***

Computed relative energies in units of meV per atom: a 26; b 0